This record from the Alexandria database describes a relaxed structure of Tb3RuAu. The functional is PBE-GGA.

Its energy relative to the elements is -0.527 eV per atom. For the density of states at the Fermi level, the calculation gives 12.388 states/eV per cell. The value obtained for the density is 10.50 g cm⁻³. For the uncorrected energy, the calculation gives -116.31 eV/cell. The excess energy over the best structure of this formula in the dataset is 0.0 meV/atom.

It has space group C2/m (No. 12), with a = 6.4566 Å, b = 15.3187 Å, c = 5.5631 Å, α = 90.00°, β = 116.98° and γ = 90.00°. The inequivalent atoms are Tb at (0.0000, 0.1883, 0.0000), Tb at (0.1900, 0.3912, 0.3570), Ru at (0.0000, 0.2490, 0.5000) and Au at (0.2416, 0.0000, 0.0984).